Record 1
{
  "formula": "Er5TcSb2",
  "functional": "PBE-GGA",
  "state": "optimized geometry",
  "lattice": [[2.766, -7.712, 0.000], [2.766, 7.712, 0.000], [0.000, 0.000, 13.889]],
  "species": ["Er", "Er", "Er", "Er", "Er", "Er", "Er", "Er", "Er", "Er", "Tc", "Tc", "Sb", "Sb", "Sb", "Sb"],
  "fractional_positions": [[0.053, 0.947, 0.620], [0.053, 0.947, 0.880], [0.281, 0.719, 0.599], [0.281, 0.719, 0.901], [0.293, 0.707, 0.250], [0.707, 0.293, 0.750], [0.719, 0.281, 0.099], [0.719, 0.281, 0.401], [0.947, 0.053, 0.120], [0.947, 0.053, 0.380], [0.173, 0.827, 0.750], [0.827, 0.173, 0.250], [0.145, 0.855, 0.076], [0.145, 0.855, 0.424], [0.855, 0.145, 0.576], [0.855, 0.145, 0.924]],
  "total_energy_ev_per_atom": -5.36,
  "density_g_cm3": 6.60,
  "dos_ef_per_ev_cell": 13.1
}

Record 2
{
  "formula": "Er12TcSb6",
  "functional": "PBE-GGA",
  "state": "optimized geometry",
  "lattice": [[6.456, 3.727, 3.989], [-6.456, 3.727, 3.989], [0.000, -7.455, 3.989]],
  "species": ["Er", "Er", "Er", "Er", "Er", "Er", "Er", "Er", "Er", "Er", "Er", "Er", "Tc", "Sb", "Sb", "Sb", "Sb", "Sb", "Sb"],
  "fractional_positions": [[0.006, 0.943, 0.686], [0.057, 0.314, 0.994], [0.199, 0.546, 0.415], [0.314, 0.994, 0.057], [0.415, 0.199, 0.546], [0.454, 0.585, 0.801], [0.546, 0.415, 0.199], [0.585, 0.801, 0.454], [0.686, 0.006, 0.943], [0.801, 0.454, 0.585], [0.943, 0.686, 0.006], [0.994, 0.057, 0.314], [0.000, 0.000, 0.000], [0.119, 0.318, 0.648], [0.318, 0.648, 0.119], [0.352, 0.881, 0.682], [0.648, 0.119, 0.318], [0.682, 0.352, 0.881], [0.881, 0.682, 0.352]],
  "total_energy_ev_per_atom": -5.29,
  "density_g_cm3": 8.18,
  "dos_ef_per_ev_cell": 12.4
}

Record 3
{
  "formula": "Er3Sb2Te",
  "functional": "PBE-GGA",
  "state": "optimized geometry",
  "lattice": [[2.118, -7.744, 0.000], [2.118, 7.744, 0.000], [0.000, 0.000, 10.016]],
  "species": ["Er", "Er", "Er", "Er", "Er", "Er", "Sb", "Sb", "Sb", "Sb", "Te", "Te"],
  "fractional_positions": [[0.136, 0.864, 0.750], [0.342, 0.658, 0.540], [0.342, 0.658, 0.960], [0.658, 0.342, 0.040], [0.658, 0.342, 0.460], [0.864, 0.136, 0.250], [0.000, 0.000, 0.000], [0.000, 0.000, 0.500], [0.497, 0.503, 0.750], [0.503, 0.497, 0.250], [0.225, 0.775, 0.250], [0.775, 0.225, 0.750]],
  "total_energy_ev_per_atom": -4.94,
  "de_polymorph_mev_per_atom": 424,
  "density_g_cm3": 8.83,
  "dos_ef_per_ev_cell": 8.6
}

Record 4
{
  "formula": "Er2SbTe",
  "functional": "PBE-GGA",
  "state": "optimized geometry",
  "lattice": [[4.368, 0.000, 0.000], [0.000, 7.227, 0.000], [0.000, 0.000, 7.531]],
  "species": ["Er", "Er", "Er", "Er", "Sb", "Sb", "Te", "Te"],
  "fractional_positions": [[0.250, 0.001, 0.240], [0.250, 0.499, 0.240], [0.750, 0.501, 0.760], [0.750, 0.999, 0.760], [0.250, 0.750, 0.913], [0.750, 0.250, 0.087], [0.250, 0.250, 0.581], [0.750, 0.750, 0.419]],
  "total_energy_ev_per_atom": -5.28,
  "de_polymorph_mev_per_atom": 20,
  "density_g_cm3": 8.16,
  "dos_ef_per_ev_cell": 3.9
}

Record 5
{
  "formula": "Er5Sb4Te",
  "functional": "PBE-GGA",
  "state": "optimized geometry",
  "lattice": [[-2.173, 2.173, 15.370], [2.173, -2.173, 15.370], [2.173, 2.173, -15.370]],
  "species": ["Er", "Er", "Er", "Er", "Er", "Sb", "Sb", "Sb", "Sb", "Te"],
  "fractional_positions": [[0.000, 0.000, 0.000], [0.200, 0.200, 0.000], [0.398, 0.398, 0.000], [0.602, 0.602, 0.000], [0.800, 0.800, 0.000], [0.099, 0.099, 0.000], [0.299, 0.299, 0.000], [0.701, 0.701, 0.000], [0.901, 0.901, 0.000], [0.500, 0.500, 0.000]],
  "total_energy_ev_per_atom": -5.39,
  "de_polymorph_mev_per_atom": 6,
  "density_g_cm3": 8.30,
  "dos_ef_per_ev_cell": 2.3
}

Record 6
{
  "formula": "Er3SbTe3",
  "functional": "PBE-GGA",
  "state": "optimized geometry",
  "lattice": [[3.839, 2.217, 10.832], [-3.839, 2.217, 10.832], [0.000, -4.433, 10.832]],
  "species": ["Er", "Er", "Er", "Er", "Er", "Er", "Sb", "Sb", "Te", "Te", "Te", "Te", "Te", "Te"],
  "fractional_positions": [[0.061, 0.436, 0.687], [0.313, 0.939, 0.564], [0.436, 0.687, 0.061], [0.564, 0.313, 0.939], [0.687, 0.061, 0.436], [0.939, 0.564, 0.313], [0.333, 0.333, 0.333], [0.667, 0.667, 0.667], [0.106, 0.805, 0.407], [0.195, 0.593, 0.894], [0.407, 0.106, 0.805], [0.593, 0.894, 0.195], [0.805, 0.407, 0.106], [0.894, 0.195, 0.593]],
  "total_energy_ev_per_atom": -4.96,
  "density_g_cm3": 6.04
}